Cs3KV2O6: relaxed, PBE+U.

Summary:
The calculation puts the magnetization at 2.00 μB/f.u. The calculated density is 3.40 g cm⁻³. As for the space-group type: P-3m1 (164). The calculation puts the total energy at -5.77 eV per atom.

a = 6.6897 Å, b = 6.6897 Å, c = 8.0103 Å
α = 90.00°, β = 90.00°, γ = 120.00°
Sites, in units of the cell vectors:
1 Cs 0.0000 0.0000 0.0000
2 Cs 0.3333 0.6667 0.7012
3 Cs 0.6667 0.3333 0.2988
4 K 0.0000 0.0000 0.5000
5 V 0.3333 0.6667 0.2472
6 V 0.6667 0.3333 0.7528
7 O 0.1853 0.3706 0.2750
8 O 0.1853 0.8147 0.2750
9 O 0.3706 0.1853 0.7250
10 O 0.6294 0.8147 0.2750
11 O 0.8147 0.1853 0.7250
12 O 0.8147 0.6294 0.7250